1.
Density functional theory data (GGA-PBE) for a geometry-optimized Er4Sb2H structure.

Calculated values
**Total DFT energy (no corrections)**: -35.06 eV for the cell shown
**Relative energy among the computed polymorphs**: 0.000 eV/atom
**SG**: No. 139

Lattice parameters (Å, degrees): 4.432 4.432 8.893 104.43 104.43 90.00
Fractional coordinates of all 7 atoms:
Sb1 0.362 0.362 0.724
Sb2 0.638 0.638 0.276
Er1 0.177 0.177 0.354
Er2 0.823 0.823 0.646
Er3 0.500 0.000 0.000
Er4 0.000 0.500 0.000
H1 0.000 0.000 0.000

=====

2.
Density functional theory data (GGA-PBE) for a geometry-optimized Cr2FeTeC structure.

Calculated values
**Total DFT energy (no corrections)**: -30.52 eV for the cell shown
**E_form (uncorrected)**: 1.911 eV per atom
**SG**: No. 123

Lattice parameters (Å, degrees): 4.499 4.638 4.499 90.00 90.00 90.00
Fractional coordinates of all 5 atoms:
Te1 0.000 0.500 0.000
Cr1 0.000 0.000 0.500
Cr2 0.500 0.000 0.000
C1 0.500 0.500 0.500
Fe1 0.000 0.000 0.000

=====

3.
Density functional theory data (GGA-PBE) for a geometry-optimized BaMg2Ni structure.

Calculated values
**Total DFT energy (no corrections)**: -10.78 eV for the cell shown
**Calculated formation energy**: 0.028 eV/atom
**SG**: No. 166

Lattice parameters (Å, degrees): 6.772 6.772 6.772 39.38 39.38 39.38
Fractional coordinates of all 4 atoms:
Mg1 0.552 0.552 0.552
Mg2 0.948 0.948 0.948
Ni1 0.250 0.250 0.250
Ba1 0.750 0.750 0.750

=====

4.
Density functional theory data (GGA-PBE) for a geometry-optimized Ac2NpSi3Pt12 structure.

Calculated values
**Total DFT energy (no corrections)**: -119.16 eV for the cell shown
**E_form (uncorrected)**: -0.513 eV per atom
**SG**: No. 166

Lattice parameters (Å, degrees): 8.053 8.053 8.053 61.69 61.69 61.69
Fractional coordinates of all 18 atoms:
Pt1 0.131 0.606 0.131
Pt2 0.099 0.654 0.654
Pt3 0.131 0.131 0.606
Pt4 0.346 0.901 0.346
Pt5 0.394 0.869 0.869
Pt6 0.346 0.346 0.901
Pt7 0.901 0.346 0.346
Pt8 0.869 0.869 0.394
Pt9 0.654 0.654 0.099
Pt10 0.869 0.394 0.869
Pt11 0.606 0.131 0.131
Pt12 0.654 0.099 0.654
Si1 0.000 0.500 0.000
Si2 0.500 0.000 0.000
Si3 0.000 0.000 0.500
Ac1 0.395 0.395 0.395
Ac2 0.605 0.605 0.605
Np1 0.000 0.000 0.000